DFT (PBE) results for a geometry-optimized CsRbNd2I8 structure.

Cell lengths 8.6218, 8.6218, 9.6431 Å; angles 90.00, 90.00, 120.00 degrees
Closest atoms and distances in Å follow each position.
Atoms (fractional coordinates):
Cs1 0.0000 0.0000 0.0000  12 I 4.59-5.07, 2 Rb 4.82
Rb1 0.0000 0.0000 0.5000  6 I 3.52
Nd1 0.3333 0.6667 0.4127  7 I 3.04-3.32
Nd2 0.6667 0.3333 0.5873  7 I 3.04-3.32
I1 0.0599 0.3951 0.6564  2 Nd 3.23-3.32, 1 Rb 3.52
I2 0.3333 0.6667 0.0971  1 Nd 3.04
I3 0.3353 0.9401 0.6564  2 Nd 3.23-3.32, 1 Rb 3.52
I4 0.3951 0.3353 0.3436  2 Nd 3.23-3.32, 1 Rb 3.52
I5 0.6049 0.6647 0.6564  2 Nd 3.23-3.32, 1 Rb 3.52
I6 0.6647 0.0599 0.3436  2 Nd 3.23-3.32, 1 Rb 3.52
I7 0.6667 0.3333 0.9029  1 Nd 3.04
I8 0.9401 0.6049 0.3436  2 Nd 3.23-3.32, 1 Rb 3.52

Summary:
Total moment ... 0.000 μB per atom
Formation energy (no corrections) ... -1.382 eV/atom